Below is crystalline TbSm2MoN4 at its relaxed geometry, with properties calculated at the PBE-GGA level.

Unit cell a=3.4384 b=11.8573 c=12.0125 alpha=90.00 beta=90.00 gamma=90.00
Space group Cmcm (No. 63)
Inequivalent atoms, fractional coordinates:
Tb: 0.0000 0.1208 0.2500
Sm: 0.0000 0.3682 0.0372
Mo: 0.0000 0.1456 0.7500
N: 0.0000 0.0000 0.0000
N: 0.0000 0.2668 0.6352
N: 0.0000 0.4491 0.2500

Formation energy without anion corrections, eV per atom: -1.009

=====

Below is crystalline Sr2LiAc at its relaxed geometry, with properties calculated at the PBE-GGA level.

Unit cell a=3.9454 b=3.9454 c=40.3562 alpha=90.00 beta=90.00 gamma=120.00
Space group R-3m (No. 166, hexagonal axes)
Inequivalent atoms, fractional coordinates:
Sr: 0.0000 0.0000 0.0959
Li: 0.0000 0.0000 0.5000
Ac: 0.0000 0.0000 0.0000

Polymorph energy (0 for the lowest one), eV per atom: 0.172
Energy of formation from the pure elements, eV/atom: 0.2446

=====

Below is crystalline Bi3HPd7 at its relaxed geometry, with properties calculated at the PBE-GGA level.

Unit cell a=7.2587 b=5.8455 c=9.2219 alpha=90.00 beta=92.23 gamma=90.00
Space group Pm (No. 6)
Inequivalent atoms, fractional coordinates:
Bi: 0.0000 0.0000 0.0000
Bi: 0.1430 0.5000 0.3114
Bi: 0.2926 0.0000 0.6141
Bi: 0.4824 0.0000 0.1263
Bi: 0.6262 0.5000 0.7589
Bi: 0.8071 0.0000 0.4931
H: 0.1627 0.5000 0.8384
H: 0.6572 0.5000 0.2643
Pd: 0.0398 0.5000 0.0103
Pd: 0.1400 0.0000 0.3100
Pd: 0.2563 0.5000 0.6098
Pd: 0.3277 0.2495 0.8822
Pd: 0.4689 0.5000 0.1282
Pd: 0.4774 0.2525 0.4035
Pd: 0.6556 0.0000 0.8394
Pd: 0.8045 0.5000 0.4868
Pd: 0.8084 0.2518 0.2111
Pd: 0.9631 0.2531 0.7330

=====

Below is crystalline Th2PtS2N2 at its relaxed geometry, with properties calculated at the PBE-GGA level.

Unit cell a=4.0622 b=4.0622 c=10.9784 alpha=90.00 beta=90.00 gamma=120.00
Space group P-3m1 (No. 164)
Inequivalent atoms, fractional coordinates:
Th: 0.3333 0.6667 0.1340
Pt: 0.0000 0.0000 0.5000
S: 0.0000 0.0000 0.2988
N: 0.3333 0.6667 0.9193

Formation energy without anion corrections, eV per atom: -1.148

=====

Below is crystalline CaTmCdNi at its relaxed geometry, with properties calculated at the PBE-GGA level.

Unit cell a=7.1347 b=7.1347 c=7.1347 alpha=90.00 beta=90.00 gamma=90.00
Space group F-43m (No. 216)
Inequivalent atoms, fractional coordinates:
Ca: 0.0000 0.0000 0.0000
Tm: 0.0000 0.0000 0.5000
Cd: 0.2500 0.2500 0.2500
Ni: 0.2500 0.2500 0.7500

Energy of formation from the pure elements, eV/atom: -0.1657

=====

Below is crystalline CsLi2HoBr6 at its relaxed geometry, with properties calculated at the PBE-GGA level.

Unit cell a=7.4433 b=7.8270 c=7.9707 alpha=105.26 beta=102.41 gamma=117.32
Space group P1 (No. 1)
Inequivalent atoms, fractional coordinates:
Cs: 0.0000 0.0000 0.0000
Li: 0.2581 0.5966 0.7318
Li: 0.5754 0.7209 0.3300
Ho: 0.4460 0.2103 0.6449
Br: 0.3700 0.4604 0.4654
Br: 0.4049 0.9376 0.3200
Br: 0.4614 0.5043 0.9666
Br: 0.4868 0.9994 0.8635
Br: 0.8912 0.4751 0.7590
Br: 0.9861 0.9662 0.5207

Formation energy without anion corrections, eV per atom: -1.726

=====

Below is crystalline AcSm2Hg at its relaxed geometry, with properties calculated at the PBE-GGA level.

Unit cell a=3.8179 b=3.8179 c=8.9654 alpha=90.00 beta=90.00 gamma=90.00
Space group P4/mmm (No. 123)
Inequivalent atoms, fractional coordinates:
Ac: 0.0000 0.0000 0.0000
Sm: 0.5000 0.5000 0.2914
Hg: 0.0000 0.0000 0.5000

Polymorph energy (0 for the lowest one), eV per atom: 0.000
Energy of formation from the pure elements, eV/atom: -0.2173

=====

Below is crystalline NdY2Ho5 at its relaxed geometry, with properties calculated at the PBE-GGA level.

Unit cell a=5.7601 b=11.0768 c=8.5711 alpha=90.00 beta=106.50 gamma=90.00
Space group P2_1/m (No. 11)
Inequivalent atoms, fractional coordinates:
Nd: 0.0163 0.2500 0.3510
Y: 0.3738 0.6138 0.4607
Ho: 0.1793 0.0804 0.7190
Ho: 0.2605 0.7500 0.0784
Ho: 0.3026 0.0782 0.1198

Polymorph energy (0 for the lowest one), eV per atom: 0.181
Energy of formation from the pure elements, eV/atom: 0.2012

=====

Listing uncorrected energy for the structures above in their given order: -265.1; -25.2; -107.1; -53.8; -55.3; -36.6; -14.7; -78.0 eV for the cell shown.